DyTmSb2 after structural relaxation. Source: Alexandria, functional PBE-GGA.

Calculated values
ΔE_f (raw): -1.099 eV/atom
polymorph energy (0 for the lowest one): 0.000 eV per atom
crystal system: trigonal

POSCAR file:
```
DyTmSb2
1.0
4.361 0.000 0.000
2.181 3.777 0.000
2.181 1.259 7.118
Sb Tm Dy
2 1 1
direct
0.751 0.751 0.747
0.249 0.249 0.253
0.500 0.500 0.500
0.000 0.000 0.000
```



Co2Ni2Ag after structural relaxation. Source: Alexandria, functional PBE-GGA.

Calculated values
ΔE_f: 0.23 eV per atom
polymorph energy (0 for the lowest one): 0.000 eV per atom
crystal system: tetragonal

POSCAR file:
```
Co2Ni2Ag
1.0
7.006 0.000 0.000
0.000 7.006 0.000
0.000 0.000 2.574
Ni Co Ag
4 4 2
direct
0.172 0.672 0.500
0.672 0.828 0.500
0.828 0.328 0.500
0.328 0.172 0.500
0.381 0.881 0.000
0.881 0.619 0.000
0.619 0.119 0.000
0.119 0.381 0.000
0.000 0.000 0.000
0.500 0.500 0.000
```



KZrSnSbO6 after structural relaxation. Source: Alexandria, functional PBE-GGA.

Calculated values
ΔE_f (raw): -1.968 eV/atom
crystal system: cubic

POSCAR file:
```
KZrSnSbO6
1.0
0.000 4.106 4.106
4.106 0.000 4.106
4.106 4.106 0.000
K Zr Sn Sb O
1 1 1 1 6
direct
0.750 0.750 0.750
0.500 0.500 0.500
0.250 0.250 0.250
0.000 0.000 0.000
0.244 0.756 0.244
0.756 0.244 0.756
0.244 0.756 0.756
0.756 0.244 0.244
0.244 0.244 0.756
0.756 0.756 0.244
```



KCa2Au after structural relaxation. Source: Alexandria, functional PBE-GGA.

Calculated values
ΔE_f: -0.35 eV per atom
polymorph energy (0 for the lowest one): 0.007 eV per atom
crystal system: tetragonal

POSCAR file:
```
KCa2Au
1.0
-0.742 3.604 -0.806
-3.665 -0.819 -0.291
-1.254 2.010 10.136
Au Ca K
1 2 1
direct
0.500 0.500 0.750
0.000 0.000 0.912
0.000 0.000 0.588
0.500 0.500 0.250
```



Rb2Ga3Au9 after structural relaxation. Source: Alexandria, functional PBE-GGA.

Calculated values
ΔE_f: -0.18 eV per atom
crystal system: monoclinic

POSCAR file:
```
Rb2Ga3Au9
1.0
-3.444 -5.520 3.619
6.314 0.415 3.925
-4.622 12.627 4.259
Rb Ga Au
4 6 18
direct
0.360 0.236 0.739
0.640 0.764 0.261
0.997 0.621 0.761
0.003 0.379 0.239
0.500 0.000 0.000
0.500 0.500 0.500
0.885 0.175 0.466
0.115 0.825 0.534
0.209 0.419 0.034
0.791 0.581 0.966
0.475 0.774 0.646
0.525 0.226 0.354
0.628 0.829 0.854
0.372 0.171 0.146
0.438 0.659 0.980
0.562 0.341 0.020
0.178 0.458 0.520
0.822 0.542 0.480
0.817 0.067 0.750
0.183 0.933 0.250
0.148 0.078 0.925
0.852 0.922 0.075
0.653 0.223 0.575
0.347 0.777 0.425
0.790 0.896 0.555
0.210 0.104 0.445
0.841 0.235 0.945
0.159 0.765 0.055
```



KCaTa2 after structural relaxation. Source: Alexandria, functional PBE-GGA.

Calculated values
ΔE_f: 1.18 eV per atom
polymorph energy (0 for the lowest one): 0.574 eV per atom
crystal system: monoclinic

POSCAR file:
```
KCaTa2
1.0
-2.991 5.926 0.716
-2.139 -5.439 -3.227
-2.119 -0.811 1.879
Ca K Ta
1 1 2
direct
0.500 0.000 0.500
0.000 0.500 0.500
0.000 0.000 0.000
0.500 0.500 0.000
```



Li2ZrMo after structural relaxation. Source: Alexandria, functional PBE-GGA.

Calculated values
ΔE_f: 0.32 eV per atom
polymorph energy (0 for the lowest one): 0.097 eV per atom
crystal system: monoclinic

POSCAR file:
```
Li2ZrMo
1.0
-1.240 5.092 -2.674
-0.634 -5.367 -2.324
-2.716 -0.157 0.015
Li Mo Zr
2 1 1
direct
0.000 0.000 0.000
0.500 0.500 0.000
0.500 0.000 0.500
0.000 0.500 0.500
```



Rb2AcCuF6 after structural relaxation. Source: Alexandria, functional PBE-GGA.

Calculated values
ΔE_f (raw): -2.913 eV/atom
crystal system: triclinic

POSCAR file:
```
Rb2AcCuF6
1.0
-6.395 -2.256 1.863
0.756 -0.143 5.315
-4.370 4.357 3.900
Rb Ac Cu F
2 1 1 6
direct
0.699 0.168 0.581
0.301 0.832 0.419
0.000 0.000 0.000
0.500 0.500 0.000
0.276 0.247 0.605
0.921 0.753 0.834
0.333 0.793 0.023
0.667 0.207 0.977
0.079 0.247 0.166
0.724 0.753 0.395
```



no.,E_tot (eV/cell)
1,-21.72
2,-54.94
3,-67.20
4,-9.79
5,-85.98
6,-22.07
7,-21.92
8,-50.49